# 1
Material: Co2AsIr
Method: DFT, GGA-PBE
State: optimized geometry

The total energy is -80.61 eV per cell. The formation energy is 0.213 eV per atom. As for the magnetization: 9.56 μB/cell.

It has space group R3m (No. 160, hexagonal axes), with a = 2.8040 Å, b = 2.8040 Å, c = 23.5098 Å, α = 90.00°, β = 90.00° and γ = 120.00°. The distinct sites, in fractional coordinates, are Co at (0.0000, 0.0000, 0.0000), Co at (0.0000, 0.0000, 0.2533), As at (0.0000, 0.0000, 0.7453) and Ir at (0.0000, 0.0000, 0.4991).

---

# 2
Material: CoAs4Ir
Method: DFT, GGA-PBE
State: optimized geometry

The total energy is -114.60 eV per cell. The formation energy is 0.986 eV per atom. As for the magnetization: 6.92 μB/cell.

It has space group F-43m (No. 216), with a = 7.526 Å, b = 7.526 Å, c = 7.526 Å, α = 90.00°, β = 90.00° and γ = 90.00°. The distinct sites, in fractional coordinates, are Co at (0.000, 0.000, 0.000), As at (0.126, 0.126, 0.374) and Ir at (0.250, 0.250, 0.750).